First-principles (PBE) data for an optimized crystal structure of NaCd2Sn6, as listed in Alexandria.

Values from the calculation:
ΔE to the lowest computed polymorph = 0.000 eV per atom
Energy relative to the elements = 0.002 eV/atom

Unit cell a=9.4093 b=9.4093 c=3.1235 alpha=90.00 beta=90.00 gamma=120.00
Space group P6/mmm (No. 191)
Asymmetric unit:
Na1 0.0000 0.0000 0.0000 x1
Cd1 0.3333 0.6667 0.0000 x2
Sn1 0.0000 0.3360 0.5000 x6

***

First-principles (PBE) data for an optimized crystal structure of Ta2SiAg, as listed in Alexandria.

Values from the calculation:
E_form (uncorrected) = 0.4079 eV per atom

Unit cell a=7.1948 b=7.1948 c=5.5712 alpha=90.00 beta=90.00 gamma=90.00
Space group I-42d (No. 122)
Asymmetric unit:
Ta1 0.2303 0.2500 0.1250 x8
Si1 0.0000 0.0000 0.0000 x4
Ag1 0.0000 0.0000 0.5000 x4

***

First-principles (PBE) data for an optimized crystal structure of KMgPb2, as listed in Alexandria.

Values from the calculation:
Energy relative to the elements = -0.091 eV/atom

Unit cell a=5.1238 b=7.6321 c=7.1894 alpha=90.00 beta=90.00 gamma=90.00
Space group Pmmn (No. 59, origin choice 2)
Asymmetric unit:
K1 0.2500 0.2500 0.1325 x2
Mg1 0.2500 0.7500 0.3432 x2
Pb1 0.2500 0.0320 0.6619 x4

***

First-principles (PBE) data for an optimized crystal structure of CaInHgSb, as listed in Alexandria.

Values from the calculation:
E_form (uncorrected) = -0.4410 eV per atom
ΔE to the lowest computed polymorph = 0.000 eV per atom

Unit cell a=4.3720 b=4.7334 c=5.1813 alpha=90.00 beta=90.00 gamma=90.00
Space group Pmmm (No. 47)
Asymmetric unit:
Ca1 0.0000 0.0000 0.0000 x1
In1 0.0000 0.5000 0.5000 x1
Hg1 0.5000 0.0000 0.5000 x1
Sb1 0.5000 0.5000 0.0000 x1

***

First-principles (PBE) data for an optimized crystal structure of Y2CuPtAu, as listed in Alexandria.

Values from the calculation:
Energy relative to the elements = -0.150 eV/atom

Unit cell a=5.1733 b=5.1733 c=4.5765 alpha=90.00 beta=90.00 gamma=90.00
Space group P4/mmm (No. 123)
Asymmetric unit:
Y1 0.0000 0.5000 0.0000 x2
Cu1 0.0000 0.0000 0.0000 x1
Pt1 0.0000 0.0000 0.5000 x1
Au1 0.5000 0.5000 0.5000 x1

***

First-principles (PBE) data for an optimized crystal structure of BaReF3, as listed in Alexandria.

Values from the calculation:
E_form (uncorrected) = -1.2645 eV per atom
ΔE to the lowest computed polymorph = 0.054 eV per atom

Unit cell a=5.0867 b=5.0867 c=5.0867 alpha=90.00 beta=90.00 gamma=90.00
Space group Pm-3m (No. 221)
Asymmetric unit:
Ba1 0.0000 0.0000 0.0000 x1
Re1 0.5000 0.5000 0.5000 x1
F1 0.0000 0.0000 0.5000 x3

***

First-principles (PBE) data for an optimized crystal structure of AsS2, as listed in Alexandria.

Values from the calculation:
E_form (uncorrected) = -0.0749 eV per atom

Unit cell a=7.4304 b=10.6046 c=8.1963 alpha=90.00 beta=106.55 gamma=90.00
Space group P2_1 (No. 4)
Asymmetric unit:
As1 0.0352 0.0000 0.3746 x2
As2 0.1036 0.5100 0.1566 x2
As3 0.2694 0.3055 0.9397 x2
As4 0.4036 0.3123 0.4674 x2
S1 0.0543 0.2966 0.6686 x2
S2 0.0679 0.2976 0.1142 x2
S3 0.2308 0.9726 0.6519 x2
S4 0.2664 0.0099 0.2287 x2
S5 0.2994 0.5174 0.9778 x2
S6 0.3135 0.5161 0.4279 x2
S7 0.3673 0.8028 0.6782 x2
S8 0.4026 0.8400 0.2534 x2

***

First-principles (PBE) data for an optimized crystal structure of DyZrSi2, as listed in Alexandria.

Values from the calculation:
E_form (uncorrected) = -0.5991 eV per atom
ΔE to the lowest computed polymorph = 0.232 eV per atom

Unit cell a=3.8723 b=3.8723 c=20.1384 alpha=90.00 beta=90.00 gamma=120.00
Space group R-3m (No. 166, hexagonal axes)
Asymmetric unit:
Dy1 0.0000 0.0000 0.0000 x3
Zr1 0.0000 0.0000 0.5000 x3
Si1 0.0000 0.0000 0.2435 x6

***

First-principles (PBE) data for an optimized crystal structure of TbSi2Ni8, as listed in Alexandria.

Values from the calculation:
E_form (uncorrected) = 0.0178 eV per atom

Unit cell a=5.6118 b=5.6118 c=4.9537 alpha=90.00 beta=90.00 gamma=90.00
Space group P4/mmm (No. 123)
Asymmetric unit:
Tb1 0.0000 0.0000 0.0000 x1
Si1 0.0000 0.5000 0.5000 x2
Ni1 0.2897 0.2897 0.2517 x8

***

First-principles (PBE) data for an optimized crystal structure of CsErIn2I6, as listed in Alexandria.

Values from the calculation:
E_form (uncorrected) = -1.0442 eV per atom

Unit cell a=8.6697 b=8.6784 c=9.2355 alpha=90.03 beta=117.99 gamma=119.94
Space group P1 (No. 1)
Asymmetric unit:
Cs1 0.0000 0.0000 0.0000 x1
Er1 0.9734 0.4867 0.4596 x1
In1 0.5941 0.2971 0.8906 x1
In2 0.6243 0.8124 0.4361 x1
I1 0.1055 0.4460 0.2152 x1
I2 0.1129 0.2660 0.6720 x1
I3 0.4059 0.8467 0.6719 x1
I4 0.5566 0.1110 0.2152 x1
I5 0.7692 0.6589 0.2146 x1
I6 0.8254 0.5598 0.6719 x1

***

First-principles (PBE) data for an optimized crystal structure of Ac3Zn12Pd5, as listed in Alexandria.

Values from the calculation:
Energy relative to the elements = -0.025 eV/atom

Unit cell a=15.8671 b=15.8671 c=15.8671 alpha=90.00 beta=90.00 gamma=90.00
Space group Ia-3d (No. 230)
Asymmetric unit:
Ac1 0.0000 0.2500 0.1250 x24
Zn1 0.0555 0.1099 0.9101 x96
Pd1 0.0000 0.0000 0.0000 x16
Pd2 0.0000 0.2500 0.3750 x24

***

First-principles (PBE) data for an optimized crystal structure of AlZnCu2, as listed in Alexandria.

Values from the calculation:
Energy relative to the elements = 0.247 eV/atom

Unit cell a=2.6349 b=4.4206 c=10.3471 alpha=90.00 beta=90.00 gamma=90.00
Space group Immm (No. 71)
Asymmetric unit:
Al1 0.0000 0.0000 0.0000 x2
Zn1 0.0000 0.0000 0.5000 x2
Cu1 0.0000 0.0000 0.2501 x4

***

First-principles (PBE) data for an optimized crystal structure of BaTlNi2, as listed in Alexandria.

Values from the calculation:
Energy relative to the elements = 0.347 eV/atom

Unit cell a=7.0497 b=7.0497 c=7.0497 alpha=90.00 beta=90.00 gamma=90.00
Space group Fm-3m (No. 225)
Asymmetric unit:
Ba1 0.0000 0.0000 0.0000 x4
Tl1 0.0000 0.0000 0.5000 x4
Ni1 0.2500 0.2500 0.2500 x8

***

First-principles (PBE) data for an optimized crystal structure of AlTlO2, as listed in Alexandria.

Values from the calculation:
E_form (uncorrected) = -1.8856 eV per atom
ΔE to the lowest computed polymorph = 0.244 eV per atom

Unit cell a=2.9500 b=2.9500 c=20.1036 alpha=90.00 beta=90.00 gamma=120.00
Space group R-3m (No. 166, hexagonal axes)
Asymmetric unit:
Al1 0.0000 0.0000 0.0000 x3
Tl1 0.0000 0.0000 0.5000 x3
O1 0.0000 0.0000 0.3805 x6

***

First-principles (PBE) data for an optimized crystal structure of TiHg2MoPb, as listed in Alexandria.

Values from the calculation:
Energy relative to the elements = 0.814 eV/atom

Unit cell a=5.3670 b=5.3670 c=4.5171 alpha=90.00 beta=90.00 gamma=90.00
Space group P4/mmm (No. 123)
Asymmetric unit:
Ti1 0.0000 0.0000 0.0000 x1
Hg1 0.0000 0.5000 0.0000 x2
Mo1 0.0000 0.0000 0.5000 x1
Pb1 0.5000 0.5000 0.5000 x1

***

First-principles (PBE) data for an optimized crystal structure of TbZn2Cu2Pd, as listed in Alexandria.

Values from the calculation:
Energy relative to the elements = -0.020 eV/atom

Unit cell a=4.7408 b=4.7408 c=5.2302 alpha=90.00 beta=90.00 gamma=90.00
Space group P4/mmm (No. 123)
Asymmetric unit:
Tb1 0.0000 0.0000 0.0000 x1
Zn1 0.0000 0.5000 0.5000 x2
Cu1 0.5000 0.5000 0.2419 x2
Pd1 0.0000 0.0000 0.5000 x1

***

First-principles (PBE) data for an optimized crystal structure of Tb4Th3, as listed in Alexandria.

Values from the calculation:
ΔE to the lowest computed polymorph = 0.000 eV per atom
Energy relative to the elements = 0.035 eV/atom

Unit cell a=11.3373 b=5.0529 c=7.9558 alpha=90.00 beta=98.22 gamma=90.00
Space group C2/m (No. 12)
Asymmetric unit:
Tb1 0.0726 0.0000 0.2217 x4
Tb2 0.1440 0.5000 0.9241 x4
Th1 0.0000 0.5000 0.5000 x2
Th2 0.2133 0.0000 0.6373 x4

***

First-principles (PBE) data for an optimized crystal structure of Tl3CuI2O9, as listed in Alexandria.

Values from the calculation:
E_form (uncorrected) = -0.3231 eV per atom

Unit cell a=5.8314 b=5.8314 c=7.1941 alpha=90.00 beta=90.00 gamma=120.00
Space group P-3m1 (No. 164)
Asymmetric unit:
Tl1 0.0000 0.0000 0.0000 x1
Tl2 0.3333 0.6667 0.6672 x2
Cu1 0.0000 0.0000 0.5000 x1
I1 0.3333 0.6667 0.1814 x2
O1 0.0000 0.5000 0.0000 x3
O2 0.1724 0.3449 0.3226 x6

***

First-principles (PBE) data for an optimized crystal structure of Co2NiW, as listed in Alexandria.

Values from the calculation:
ΔE to the lowest computed polymorph = 0.223 eV per atom
Energy relative to the elements = 0.180 eV/atom

Unit cell a=2.5582 b=4.2034 c=4.5991 alpha=90.00 beta=95.82 gamma=90.00
Space group P2/m (No. 10)
Asymmetric unit:
Co1 0.2194 0.0000 0.2625 x2
Ni1 0.0000 0.5000 0.5000 x1
W1 0.5000 0.5000 0.0000 x1

***

First-principles (PBE) data for an optimized crystal structure of KTiTc2Pb, as listed in Alexandria.

Values from the calculation:
Energy relative to the elements = 1.817 eV/atom

Unit cell a=5.2263 b=5.2263 c=5.3366 alpha=90.00 beta=90.00 gamma=90.00
Space group P4/mmm (No. 123)
Asymmetric unit:
K1 0.0000 0.0000 0.0000 x1
Ti1 0.5000 0.5000 0.0000 x1
Tc1 0.0000 0.5000 0.5000 x2
Pb1 0.5000 0.5000 0.5000 x1

***

First-principles (PBE) data for an optimized crystal structure of GaTcRu3, as listed in Alexandria.

Values from the calculation:
ΔE to the lowest computed polymorph = 0.003 eV per atom
Energy relative to the elements = 1.547 eV/atom

Unit cell a=4.7366 b=4.7366 c=4.7366 alpha=90.00 beta=90.00 gamma=90.00
Space group Pm-3m (No. 221)
Asymmetric unit:
Ga1 0.0000 0.0000 0.0000 x1
Tc1 0.5000 0.5000 0.5000 x1
Ru1 0.0000 0.5000 0.5000 x3

***

no.,size of the total moment (Bohr magnetons per cell),raw total energy (eV per cell)
1,0.0,-27.1
2,0.0,-121.4
3,0.0,-20.9
4,0.0,-10.9
5,0.0,-27.1
6,6.0,-26.3
7,0.0,-105.0
8,0.0,-79.2
9,0.0,-61.5
10,0.0,-30.6
11,0.0,-432.6
12,0.0,-24.4
13,0.0,-57.9
14,0.0,-70.7
15,1.0,-19.0
16,0.0,-20.7
17,0.0,-81.1
18,0.0,-63.8
19,2.7,-32.2
20,1.9,-24.3
21,1.8,-33.5